Computed, not measured: an optimized crystal structure of VCrRh5 at the PBE level of DFT.

Results
Uncorrected energy = -7.917 eV/atom
Energy of formation from the pure elements = 0.01 eV per atom
M_tot = 2.48 μB/f.u.
DOS(E_F) = 29.69 states/eV/cell

```
data_VCrRh5
_chemical_formula_sum 'V4 Cr4 Rh20'
_cell_length_a 8.935
_cell_length_b 5.504
_cell_length_c 8.938
_cell_angle_alpha 90.00
_cell_angle_beta 107.12
_cell_angle_gamma 90.00
_space_group_name_H-M_alt 'C 1 2/c 1'
_space_group_IT_number 15
loop_
_space_group_symop_operation_xyz
'x,y,z'
'-x,-y,-z'
'-x,y,-z+1/2'
'x,-y,z+1/2'
'x+1/2,y+1/2,z'
'-x+1/2,-y+1/2,-z'
'-x+1/2,y+1/2,-z+1/2'
'x+1/2,-y+1/2,z+1/2'
loop_
_atom_site_label
_atom_site_type_symbol
_atom_site_fract_x
_atom_site_fract_y
_atom_site_fract_z
V1 V 0.000 0.119 0.250
Cr1 Cr 0.250 0.250 0.000
Rh1 Rh 0.000 0.322 0.750
Rh2 Rh 0.098 0.326 0.485
Rh3 Rh 0.247 0.069 0.732
```

---

Computed, not measured: an optimized crystal structure of Sr2LiIn3 at the PBE level of DFT.

Results
Excess energy over the best structure of this formula in the dataset = 0.0 meV/atom
Uncorrected energy = -2.648 eV/atom
Energy of formation from the pure elements = -0.40 eV per atom
M_tot = 0.00 μB/f.u.
DOS(E_F) = 7.42 states/eV/cell

```
data_Sr2LiIn3
_chemical_formula_sum 'Sr4 Li2 In6'
_cell_length_a 11.909
_cell_length_b 5.051
_cell_length_c 8.068
_cell_angle_alpha 90.00
_cell_angle_beta 132.24
_cell_angle_gamma 90.00
_space_group_name_H-M_alt 'C 1 m 1'
_space_group_IT_number 8
loop_
_space_group_symop_operation_xyz
'x,y,z'
'x,-y,z'
'x+1/2,y+1/2,z'
'x+1/2,-y+1/2,z'
loop_
_atom_site_label
_atom_site_type_symbol
_atom_site_fract_x
_atom_site_fract_y
_atom_site_fract_z
Sr1 Sr 0.000 0.000 0.000
Sr2 Sr 0.084 0.000 0.582
Li1 Li 0.376 0.000 0.563
In1 In 0.198 0.500 0.000
In2 In 0.214 0.500 0.412
In3 In 0.383 0.000 0.181
```

---

Computed, not measured: an optimized crystal structure of Th4Sn3Sb at the PBE level of DFT.

Results
Uncorrected energy = -6.336 eV/atom
E_form (uncorrected) = -0.61 eV per atom
M_tot = 0.00 μB/f.u.
DOS(E_F) = 8.40 states/eV/cell

```
data_Th4Sn3Sb
_chemical_formula_sum 'Th8 Sn6 Sb2'
_cell_length_a 6.403
_cell_length_b 6.403
_cell_length_c 12.807
_cell_angle_alpha 90.00
_cell_angle_beta 90.00
_cell_angle_gamma 90.00
_space_group_name_H-M_alt 'I 4/m m m'
_space_group_IT_number 139
_space_group_name_Hall '-I 4 2'
loop_
_atom_site_label
_atom_site_type_symbol
_atom_site_fract_x
_atom_site_fract_y
_atom_site_fract_z
Th1 Th 0.000 0.000 0.250
Th2 Th 0.000 0.500 0.000
Sn1 Sn 0.000 0.000 0.000
Sn2 Sn 0.000 0.500 0.250
Sb1 Sb 0.000 0.000 0.500
```

---

Computed, not measured: an optimized crystal structure of Sb3PbAu at the PBE level of DFT.

Results
Excess energy over the best structure of this formula in the dataset = 733.1 meV/atom
Uncorrected energy = -2.697 eV/atom
E_form (uncorrected) = 1.17 eV per atom
M_tot = 0.00 μB/f.u.
DOS(E_F) = 4.46 states/eV/cell

```
data_Sb3PbAu
_chemical_formula_sum 'Sb3 Pb1 Au1'
_cell_length_a 5.760
_cell_length_b 5.760
_cell_length_c 5.760
_cell_angle_alpha 90.00
_cell_angle_beta 90.00
_cell_angle_gamma 90.00
_space_group_name_H-M_alt 'P m -3 m'
_space_group_IT_number 221
_space_group_name_Hall '-P 4 2 3'
loop_
_atom_site_label
_atom_site_type_symbol
_atom_site_fract_x
_atom_site_fract_y
_atom_site_fract_z
Sb1 Sb 0.000 0.000 0.500
Pb1 Pb 0.000 0.000 0.000
Au1 Au 0.500 0.500 0.500
```

---

Computed, not measured: an optimized crystal structure of Na2Li3ReF12 at the PBE level of DFT.

Results
Uncorrected energy = -4.653 eV/atom
E_form (uncorrected) = -2.25 eV per atom
M_tot = 2.06 μB/f.u.
DOS(E_F) = 46.25 states/eV/cell

```
data_Na2Li3ReF12
_chemical_formula_sum 'Na6 Li9 Re3 F36'
_cell_length_a 6.5223
_cell_length_b 6.5223
_cell_length_c 23.0120
_cell_angle_alpha 90.00
_cell_angle_beta 90.00
_cell_angle_gamma 120.00
_space_group_name_H-M_alt 'R -3 m'
_space_group_IT_number 166
_space_group_name_Hall '-R 3 2"'
loop_
_atom_site_label
_atom_site_type_symbol
_atom_site_fract_x
_atom_site_fract_y
_atom_site_fract_z
Na1 Na 0.0000 0.0000 0.0612
Li1 Li 0.0000 0.5000 0.0000
Re1 Re 0.0000 0.0000 0.5000
F1 F 0.0418 0.5209 0.3666
F2 F 0.0610 0.5305 0.1203
```

---

Computed, not measured: an optimized crystal structure of LaPt4Au at the PBE level of DFT.

Results
Uncorrected energy = -6.130 eV/atom
Energy of formation from the pure elements = -0.74 eV per atom
M_tot = 0.00 μB/f.u.
DOS(E_F) = 19.16 states/eV/cell

```
data_LaPt4Au
_chemical_formula_sum 'La4 Pt16 Au4'
_cell_length_a 7.681
_cell_length_b 7.681
_cell_length_c 7.681
_cell_angle_alpha 90.00
_cell_angle_beta 90.00
_cell_angle_gamma 90.00
_space_group_name_H-M_alt 'F -4 3 m'
_space_group_IT_number 216
_space_group_name_Hall 'F -4 2 3'
loop_
_atom_site_label
_atom_site_type_symbol
_atom_site_fract_x
_atom_site_fract_y
_atom_site_fract_z
La1 La 0.000 0.000 0.000
Pt1 Pt 0.124 0.124 0.376
Au1 Au 0.250 0.250 0.750
```

---

Computed, not measured: an optimized crystal structure of Ir2OsBr at the PBE level of DFT.

Results
Excess energy over the best structure of this formula in the dataset = 208.7 meV/atom
Uncorrected energy = -6.841 eV/atom
E_form (uncorrected) = 0.82 eV per atom
M_tot = 0.54 μB/f.u.
DOS(E_F) = 9.80 states/eV/cell

```
data_Ir2OsBr
_chemical_formula_sum 'Ir4 Os2 Br2'
_cell_length_a 2.725
_cell_length_b 4.797
_cell_length_c 11.138
_cell_angle_alpha 90.00
_cell_angle_beta 90.00
_cell_angle_gamma 90.00
_space_group_name_H-M_alt 'C m m m'
_space_group_IT_number 65
_space_group_name_Hall '-C 2 2'
loop_
_atom_site_label
_atom_site_type_symbol
_atom_site_fract_x
_atom_site_fract_y
_atom_site_fract_z
Ir1 Ir 0.000 0.000 0.202
Os1 Os 0.000 0.500 0.000
Br1 Br 0.000 0.500 0.500
```

---

Computed, not measured: an optimized crystal structure of SiPt2Rh at the PBE level of DFT.

Results
Uncorrected energy = -6.635 eV/atom
E_form (uncorrected) = -0.42 eV per atom
M_tot = 0.00 μB/f.u.
DOS(E_F) = 7.40 states/eV/cell

```
data_SiPt2Rh
_chemical_formula_sum 'Si2 Pt4 Rh2'
_cell_length_a 2.951
_cell_length_b 4.306
_cell_length_c 9.310
_cell_angle_alpha 90.00
_cell_angle_beta 90.00
_cell_angle_gamma 90.00
_space_group_name_H-M_alt 'I m m m'
_space_group_IT_number 71
_space_group_name_Hall '-I 2 2'
loop_
_atom_site_label
_atom_site_type_symbol
_atom_site_fract_x
_atom_site_fract_y
_atom_site_fract_z
Si1 Si 0.000 0.000 0.000
Pt1 Pt 0.000 0.500 0.296
Rh1 Rh 0.000 0.000 0.500
```

---

Q: Look up the uncorrected energy of the third one.
A: -6.336 eV/atom

---

Q: Which of these has the highest M_tot?
A: VCrRh5

---

Q: What is the DOS(E_F) in the eighth record?
A: 7.40 states/eV/cell

---

Q: Which of these has the highest M_tot?
A: VCrRh5